CrCdAs2O8 (PBE with a Hubbard U, optimized geometry); E_tot = -5.826 eV/atom; V = 12.34 A^3/atom
1.0
-3.108 -0.721 -4.829
-2.362 -2.203 4.802
0.461 5.707 0.842
Cr Cd As O
1 1 2 8
Direct
0.250 0.750 0.500 Cr
0.000 0.000 0.000 Cd
0.750 0.250 0.500 As
0.500 0.500 0.000 As
0.377 0.053 0.324 O
0.323 0.517 0.194 O
0.323 0.129 0.806 O
0.729 0.053 0.676 O
0.871 0.677 0.194 O
0.947 0.271 0.324 O
0.947 0.623 0.676 O
0.483 0.677 0.806 O